[1]
# PBE LaCrSi4, relaxed
data_LaCrSi4
_cell_length_a 7.5219
_cell_length_b 7.5219
_cell_length_c 7.5219
_cell_angle_alpha 90.00
_cell_angle_beta 90.00
_cell_angle_gamma 90.00
_space_group_name_H-M_alt 'F -4 3 m'
_space_group_IT_number 216
_space_group_name_Hall 'F -4 2 3'
loop_
_atom_site_label
_atom_site_fract_x
_atom_site_fract_y
_atom_site_fract_z
La1 0.0000 0.0000 0.0000
Cr1 0.2500 0.2500 0.2500
Si1 0.1222 0.1222 0.6222
# - Calculated volume: 17.73 Å³ per atom
# - Formation energy from raw total energies: 0.085 eV/atom
# - Magnetization: 4.6 μB per formula unit

=====

[2]
# PBE LaCrSi2, relaxed
data_LaCrSi2
_cell_length_a 4.8771
_cell_length_b 4.8771
_cell_length_c 15.3772
_cell_angle_alpha 90.00
_cell_angle_beta 90.00
_cell_angle_gamma 90.00
_space_group_name_H-M_alt 'I 41/a m d'
_space_group_IT_number 141
loop_
_space_group_symop_operation_xyz
'x,y,z'
'-x,-y,-z'
'-y+1/4,x+3/4,z+1/4'
'y+1/4,-x+3/4,-z+1/4'
'-x+1/2,-y,z+1/2'
'x+1/2,y,-z+1/2'
'y+1/4,-x+1/4,z+3/4'
'-y+1/4,x+1/4,-z+3/4'
'x,-y,-z'
'-x,y,z'
'-y+1/4,-x+1/4,-z+3/4'
'y+1/4,x+1/4,z+3/4'
'-x+1/2,y,-z+1/2'
'x+1/2,-y,z+1/2'
'y+1/4,x+3/4,-z+1/4'
'-y+1/4,-x+3/4,z+1/4'
'x+1/2,y+1/2,z+1/2'
'-x+1/2,-y+1/2,-z+1/2'
'-y+3/4,x+1/4,z+3/4'
'y+3/4,-x+1/4,-z+3/4'
'-x,-y+1/2,z'
'x,y+1/2,-z'
'y+3/4,-x+3/4,z+1/4'
'-y+3/4,x+3/4,-z+1/4'
'x+1/2,-y+1/2,-z+1/2'
'-x+1/2,y+1/2,z+1/2'
'-y+3/4,-x+3/4,-z+1/4'
'y+3/4,x+3/4,z+1/4'
'-x,y+1/2,-z'
'x,-y+1/2,z'
'y+3/4,x+1/4,-z+3/4'
'-y+3/4,-x+1/4,z+3/4'
loop_
_atom_site_label
_atom_site_fract_x
_atom_site_fract_y
_atom_site_fract_z
La1 0.0000 0.2500 0.3750
Cr1 0.0000 0.2500 0.8750
Si1 0.0000 0.0000 0.0000
# - Calculated volume: 22.86 Å³ per atom
# - Formation energy from raw total energies: -0.141 eV/atom
# - Magnetization: 1.0 μB per formula unit

=====

[3]
# PBE LaCr2Si, relaxed
data_LaCr2Si
_cell_length_a 5.9906
_cell_length_b 8.6690
_cell_length_c 3.0391
_cell_angle_alpha 90.00
_cell_angle_beta 119.04
_cell_angle_gamma 90.00
_space_group_name_H-M_alt 'C 1 2/m 1'
_space_group_IT_number 12
loop_
_space_group_symop_operation_xyz
'x,y,z'
'-x,-y,-z'
'-x,y,-z'
'x,-y,z'
'x+1/2,y+1/2,z'
'-x+1/2,-y+1/2,-z'
'-x+1/2,y+1/2,-z'
'x+1/2,-y+1/2,z'
loop_
_atom_site_label
_atom_site_fract_x
_atom_site_fract_y
_atom_site_fract_z
La1 0.0000 0.0000 0.0000
Cr1 0.2500 0.2500 0.5000
Si1 0.0000 0.5000 0.0000
# - Calculated volume: 17.25 Å³ per atom
# - Formation energy from raw total energies: 0.599 eV/atom
# - Magnetization: 3.5 μB per formula unit

=====

[4]
# PBE LaCr2Si, relaxed
data_LaCr2Si
_cell_length_a 4.1860
_cell_length_b 4.1860
_cell_length_c 15.9564
_cell_angle_alpha 90.00
_cell_angle_beta 90.00
_cell_angle_gamma 120.00
_space_group_name_H-M_alt 'R -3 m'
_space_group_IT_number 166
_space_group_name_Hall '-R 3 2"'
loop_
_atom_site_label
_atom_site_fract_x
_atom_site_fract_y
_atom_site_fract_z
La1 0.0000 0.0000 0.0000
Cr1 0.0000 0.0000 0.2052
Si1 0.0000 0.0000 0.5000
# - Calculated volume: 20.18 Å³ per atom
# - Formation energy from raw total energies: 0.181 eV/atom
# - Magnetization: 6.1 μB per formula unit

=====

[5]
# PBE LaCr2Si, relaxed
data_LaCr2Si
_cell_length_a 8.4497
_cell_length_b 3.2531
_cell_length_c 5.4742
_cell_angle_alpha 90.00
_cell_angle_beta 101.89
_cell_angle_gamma 90.00
_space_group_name_H-M_alt 'C 1 2/m 1'
_space_group_IT_number 12
loop_
_space_group_symop_operation_xyz
'x,y,z'
'-x,-y,-z'
'-x,y,-z'
'x,-y,z'
'x+1/2,y+1/2,z'
'-x+1/2,-y+1/2,-z'
'-x+1/2,y+1/2,-z'
'x+1/2,-y+1/2,z'
loop_
_atom_site_label
_atom_site_fract_x
_atom_site_fract_y
_atom_site_fract_z
La1 0.0000 0.0000 0.0000
Cr1 0.2390 0.0000 0.6328
Si1 0.0000 0.5000 0.5000
# - Calculated volume: 18.41 Å³ per atom
# - Formation energy from raw total energies: 0.130 eV/atom
# - Magnetization: 0.0 μB per formula unit

=====

[6]
# PBE LaCr2Si, relaxed
data_LaCr2Si
_cell_length_a 3.0886
_cell_length_b 3.0886
_cell_length_c 7.2458
_cell_angle_alpha 90.00
_cell_angle_beta 90.00
_cell_angle_gamma 90.00
_space_group_name_H-M_alt 'P 4 m m'
_space_group_IT_number 99
loop_
_space_group_symop_operation_xyz
'x,y,z'
'-y,x,z'
'-x,-y,z'
'y,-x,z'
'-x,y,z'
'y,x,z'
'x,-y,z'
'-y,-x,z'
loop_
_atom_site_label
_atom_site_fract_x
_atom_site_fract_y
_atom_site_fract_z
La1 0.0000 0.0000 0.0000
Cr1 0.0000 0.0000 0.5026
Cr2 0.5000 0.5000 0.6625
Si1 0.5000 0.5000 0.3116
# - Calculated volume: 17.28 Å³ per atom
# - Formation energy from raw total energies: 0.043 eV/atom
# - Magnetization: 0.5 μB per formula unit

=====

[7]
# PBE LaCr2Si, relaxed
data_LaCr2Si
_cell_length_a 6.8458
_cell_length_b 6.8458
_cell_length_c 6.8458
_cell_angle_alpha 90.00
_cell_angle_beta 90.00
_cell_angle_gamma 90.00
_space_group_name_H-M_alt 'F -4 3 m'
_space_group_IT_number 216
_space_group_name_Hall 'F -4 2 3'
loop_
_atom_site_label
_atom_site_fract_x
_atom_site_fract_y
_atom_site_fract_z
La1 0.0000 0.0000 0.0000
Cr1 0.0000 0.0000 0.5000
Cr2 0.2500 0.2500 0.7500
Si1 0.2500 0.2500 0.2500
# - Calculated volume: 20.05 Å³ per atom
# - Formation energy from raw total energies: 0.266 eV/atom
# - Magnetization: 0.9 μB per formula unit

=====

[8]
# PBE LaCr2Si, relaxed
data_LaCr2Si
_cell_length_a 7.5967
_cell_length_b 7.5967
_cell_length_c 6.0207
_cell_angle_alpha 90.00
_cell_angle_beta 90.00
_cell_angle_gamma 90.00
_space_group_name_H-M_alt 'I -4 2 d'
_space_group_IT_number 122
_space_group_name_Hall 'I -4 2bw'
loop_
_atom_site_label
_atom_site_fract_x
_atom_site_fract_y
_atom_site_fract_z
La1 0.0000 0.0000 0.0000
Cr1 0.1757 0.7500 0.6250
Si1 0.0000 0.0000 0.5000
# - Calculated volume: 21.72 Å³ per atom
# - Formation energy from raw total energies: 0.528 eV/atom
# - Magnetization: 6.4 μB per formula unit

=====

[9]
# PBE LaCrSi2, relaxed
data_LaCrSi2
_cell_length_a 3.6155
_cell_length_b 3.8826
_cell_length_c 11.6757
_cell_angle_alpha 90.00
_cell_angle_beta 90.00
_cell_angle_gamma 90.00
_space_group_name_H-M_alt 'I m m 2'
_space_group_IT_number 44
loop_
_space_group_symop_operation_xyz
'x,y,z'
'-x,-y,z'
'-x,y,z'
'x,-y,z'
'x+1/2,y+1/2,z+1/2'
'-x+1/2,-y+1/2,z+1/2'
'-x+1/2,y+1/2,z+1/2'
'x+1/2,-y+1/2,z+1/2'
loop_
_atom_site_label
_atom_site_fract_x
_atom_site_fract_y
_atom_site_fract_z
La1 0.0000 0.0000 0.0000
Cr1 0.0000 0.5000 0.2411
Si1 0.0000 0.0000 0.3779
Si2 0.0000 0.5000 0.7410
# - Calculated volume: 20.49 Å³ per atom
# - Formation energy from raw total energies: -0.178 eV/atom
# - Magnetization: 3.2 μB per formula unit

=====

[10]
# PBE LaCr2Si, relaxed
data_LaCr2Si
_cell_length_a 3.1249
_cell_length_b 4.4020
_cell_length_c 5.4841
_cell_angle_alpha 90.00
_cell_angle_beta 94.95
_cell_angle_gamma 90.00
_space_group_name_H-M_alt 'P 1 2/m 1'
_space_group_IT_number 10
loop_
_space_group_symop_operation_xyz
'x,y,z'
'-x,-y,-z'
'-x,y,-z'
'x,-y,z'
loop_
_atom_site_label
_atom_site_fract_x
_atom_site_fract_y
_atom_site_fract_z
La1 0.0000 0.0000 0.0000
Cr1 0.2981 0.5000 0.6415
Si1 0.5000 0.0000 0.5000
# - Calculated volume: 18.79 Å³ per atom
# - Formation energy from raw total energies: 0.279 eV/atom
# - Magnetization: 0.0 μB per formula unit

=====

[11]
# PBE LaCrSi2, relaxed
data_LaCrSi2
_cell_length_a 7.7666
_cell_length_b 3.7551
_cell_length_c 6.3673
_cell_angle_alpha 90.00
_cell_angle_beta 117.46
_cell_angle_gamma 90.00
_space_group_name_H-M_alt 'C 1 m 1'
_space_group_IT_number 8
loop_
_space_group_symop_operation_xyz
'x,y,z'
'x,-y,z'
'x+1/2,y+1/2,z'
'x+1/2,-y+1/2,z'
loop_
_atom_site_label
_atom_site_fract_x
_atom_site_fract_y
_atom_site_fract_z
La1 0.0000 0.0000 0.0000
Cr1 0.2027 0.0000 0.5524
Si1 0.0537 0.5000 0.6604
Si2 0.3433 0.5000 0.4025
# - Calculated volume: 20.60 Å³ per atom
# - Formation energy from raw total energies: -0.254 eV/atom
# - Magnetization: 2.5 μB per formula unit

=====

[12]
# PBE LaCr2Si, relaxed
data_LaCr2Si
_cell_length_a 3.2279
_cell_length_b 3.9796
_cell_length_c 6.2700
_cell_angle_alpha 90.00
_cell_angle_beta 98.10
_cell_angle_gamma 90.00
_space_group_name_H-M_alt 'P 1 m 1'
_space_group_IT_number 6
loop_
_space_group_symop_operation_xyz
'x,y,z'
'x,-y,z'
loop_
_atom_site_label
_atom_site_fract_x
_atom_site_fract_y
_atom_site_fract_z
La1 0.0000 0.0000 0.0000
Cr1 0.1582 0.5000 0.5618
Cr2 0.6249 0.0000 0.5060
Si1 0.5724 0.5000 0.2581
# - Calculated volume: 19.93 Å³ per atom
# - Formation energy from raw total energies: 0.071 eV/atom
# - Magnetization: 0.4 μB per formula unit